Record 1
! Ba4InTe5 (PBE, optimized geometry); values from VASP
&SYSTEM
  ibrav = 0, nat = 10, ntyp = 3
/
ATOMIC_SPECIES
Ba 137.33 Ba.upf
In 114.82 In.upf
Te 127.60 Te.upf
CELL_PARAMETERS angstrom
7.021 0.000 0.000
3.511 7.805 0.000
3.511 0.000 7.805
ATOMIC_POSITIONS crystal
Ba 0.402 0.398 0.798
Ba 0.800 0.798 0.602
Ba 0.201 0.202 0.398
Ba 0.599 0.602 0.202
In 0.038 0.000 0.000
Te 0.904 0.385 0.807
Te 0.289 0.807 0.615
Te 0.711 0.193 0.385
Te 0.096 0.615 0.193
Te 0.470 0.000 0.000
! symmetry	I4 (79)
! E_form (uncorrected)	-1417	meV/atom



Record 2
! LiCo2Hg (PBE, optimized geometry); values from VASP
&SYSTEM
  ibrav = 0, nat = 8, ntyp = 3
/
ATOMIC_SPECIES
Co 58.93 Co.upf
Hg 200.59 Hg.upf
Li 6.94 Li.upf
CELL_PARAMETERS angstrom
-1.818 2.872 0.935
-2.969 -1.901 0.065
-0.902 -1.532 9.597
ATOMIC_POSITIONS crystal
Co 0.603 0.125 0.250
Co 0.147 0.625 0.250
Co 0.375 0.397 0.750
Co 0.875 0.853 0.750
Hg 0.000 0.000 0.000
Hg 0.750 0.250 0.500
Li 0.500 0.500 0.000
Li 0.250 0.750 0.500
! symmetry	I-42d (122)
! formation energy from the elements	1.6	eV per formula unit



Record 3
! KBaTc4 (PBE, optimized geometry); values from VASP
&SYSTEM
  ibrav = 0, nat = 6, ntyp = 3
/
ATOMIC_SPECIES
K 39.10 K.upf
Ba 137.33 Ba.upf
Tc 98.00 Tc.upf
CELL_PARAMETERS angstrom
0.000 3.945 3.945
3.945 0.000 3.945
3.945 3.945 0.000
ATOMIC_POSITIONS crystal
K 0.000 0.000 0.000
Ba 0.750 0.750 0.750
Tc 0.875 0.375 0.375
Tc 0.375 0.375 0.875
Tc 0.375 0.875 0.375
Tc 0.375 0.375 0.375
! symmetry	F-43m (216)
! formation energy from the elements	6.4	eV per formula unit



Record 4
! Tb5SmZn4 (PBE, optimized geometry); values from VASP
&SYSTEM
  ibrav = 0, nat = 10, ntyp = 3
/
ATOMIC_SPECIES
Tb 158.93 Tb.upf
Sm 150.36 Sm.upf
Zn 65.41 Zn.upf
CELL_PARAMETERS angstrom
3.583 0.000 0.000
0.000 3.583 0.000
0.000 0.000 19.457
ATOMIC_POSITIONS crystal
Tb 0.500 0.500 0.133
Tb 0.500 0.500 0.317
Tb 0.500 0.500 0.500
Tb 0.500 0.500 0.683
Tb 0.500 0.500 0.867
Sm 0.000 0.000 0.000
Zn 0.000 0.000 0.224
Zn 0.000 0.000 0.407
Zn 0.000 0.000 0.593
Zn 0.000 0.000 0.776
! symmetry	P4/mmm (123)
! formation energy from the elements	-2.7	eV per formula unit



| no. | theoretical density (g/cm³) | calculated total energy (hartree per atom) |
| --- | --- | --- |
| 1 | 5.06 | -0.148 |
| 2 | 9.21 | -0.136 |
| 3 | 7.69 | -0.233 |
| 4 | 8.02 | -0.131 |